Record 1
# La2PrNd5Sc, optimized geometry, DFT GGA-PBE
data_La2PrNd5Sc
_space_group_name_H-M_alt 'C m c 21'
_space_group_IT_number 36
_cell_length_a 5.525
_cell_length_b 22.172
_cell_length_c 10.309
_cell_angle_alpha 90.00
_cell_angle_beta 90.00
_cell_angle_gamma 90.00
loop_
_space_group_symop_operation_xyz
'x,y,z'
'-x,-y,z+1/2'
'-x,y,z'
'x,-y,z+1/2'
'x+1/2,y+1/2,z'
'-x+1/2,-y+1/2,z+1/2'
'-x+1/2,y+1/2,z'
'x+1/2,-y+1/2,z+1/2'
loop_
_atom_site_label
_atom_site_fract_x
_atom_site_fract_y
_atom_site_fract_z
_atom_site_occupancy
La1 0.000 0.118 0.000 1
La2 0.000 0.118 0.483 1
Pr1 0.000 0.397 0.242 1
Nd1 0.000 0.000 0.242 1
Nd2 0.000 0.276 0.054 1
Nd3 0.000 0.277 0.431 1
Nd4 0.000 0.373 0.742 1
Nd5 0.000 0.500 0.492 1
Sc1 0.000 0.215 0.742 1
# DFT formation energy	0.11	eV per atom



Record 2
# La6Pr2NdSc, optimized geometry, DFT GGA-PBE
data_La6Pr2NdSc
_space_group_name_H-M_alt 'C 1 2/m 1'
_space_group_IT_number 12
_cell_length_a 11.591
_cell_length_b 6.907
_cell_length_c 9.348
_cell_angle_alpha 90.00
_cell_angle_beta 108.85
_cell_angle_gamma 90.00
loop_
_space_group_symop_operation_xyz
'x,y,z'
'-x,-y,-z'
'-x,y,-z'
'x,-y,z'
'x+1/2,y+1/2,z'
'-x+1/2,-y+1/2,-z'
'-x+1/2,y+1/2,-z'
'x+1/2,-y+1/2,z'
loop_
_atom_site_label
_atom_site_fract_x
_atom_site_fract_y
_atom_site_fract_z
_atom_site_occupancy
La1 0.127 0.000 0.417 1
La2 0.202 0.265 0.812 1
Pr1 0.072 0.500 0.169 1
Nd1 0.000 0.500 0.500 1
Sc1 0.000 0.000 0.000 1
# DFT formation energy	0.19	eV per atom



Record 3
# LaPr5Nd2Sc, optimized geometry, DFT GGA-PBE
data_LaPr5Nd2Sc
_space_group_name_H-M_alt 'I 4/m c m'
_space_group_IT_number 140
_space_group_name_Hall '-I 4 2c'
_cell_length_a 8.982
_cell_length_b 8.982
_cell_length_c 15.750
_cell_angle_alpha 90.00
_cell_angle_beta 90.00
_cell_angle_gamma 90.00
loop_
_atom_site_label
_atom_site_fract_x
_atom_site_fract_y
_atom_site_fract_z
_atom_site_occupancy
La1 0.000 0.000 0.250 1
Pr1 0.000 0.000 0.000 1
Pr2 0.205 0.295 0.140 1
Nd1 0.118 0.382 0.500 1
Sc1 0.000 0.500 0.250 1
# DFT formation energy	0.27	eV per atom



Record 4
# LaPr2Nd4Sc, optimized geometry, DFT GGA-PBE
data_LaPr2Nd4Sc
_space_group_name_H-M_alt 'P 1 2/m 1'
_space_group_IT_number 10
_cell_length_a 5.133
_cell_length_b 5.144
_cell_length_c 10.384
_cell_angle_alpha 90.00
_cell_angle_beta 90.05
_cell_angle_gamma 90.00
loop_
_space_group_symop_operation_xyz
'x,y,z'
'-x,-y,-z'
'-x,y,-z'
'x,-y,z'
loop_
_atom_site_label
_atom_site_fract_x
_atom_site_fract_y
_atom_site_fract_z
_atom_site_occupancy
La1 0.000 0.000 0.000 1
Pr1 0.000 0.000 0.500 1
Pr2 0.500 0.500 0.500 1
Nd1 0.001 0.500 0.244 1
Nd2 0.500 0.000 0.244 1
Sc1 0.500 0.500 0.000 1
# DFT formation energy	0.03	eV per atom



Record 5
# La5PrNd2Sc, optimized geometry, DFT GGA-PBE
data_La5PrNd2Sc
_space_group_name_H-M_alt 'P 4/m b m'
_space_group_IT_number 127
_space_group_name_Hall '-P 4 2ab'
_cell_length_a 9.164
_cell_length_b 9.164
_cell_length_c 7.654
_cell_angle_alpha 90.00
_cell_angle_beta 90.00
_cell_angle_gamma 90.00
loop_
_atom_site_label
_atom_site_fract_x
_atom_site_fract_y
_atom_site_fract_z
_atom_site_occupancy
La1 0.000 0.000 0.000 1
La2 0.209 0.291 0.283 1
Pr1 0.000 0.000 0.500 1
Nd1 0.115 0.615 0.000 1
Sc1 0.000 0.500 0.500 1
# DFT formation energy	0.26	eV per atom



Record 6
# La2Pr4NdSc, optimized geometry, DFT GGA-PBE
data_La2Pr4NdSc
_space_group_name_H-M_alt 'P m m m'
_space_group_IT_number 47
_cell_length_a 5.152
_cell_length_b 5.176
_cell_length_c 10.402
_cell_angle_alpha 90.00
_cell_angle_beta 90.00
_cell_angle_gamma 90.00
loop_
_space_group_symop_operation_xyz
'x,y,z'
'-x,-y,-z'
'-x,-y,z'
'x,y,-z'
'x,-y,-z'
'-x,y,z'
'-x,y,-z'
'x,-y,z'
loop_
_atom_site_label
_atom_site_fract_x
_atom_site_fract_y
_atom_site_fract_z
_atom_site_occupancy
La1 0.000 0.000 0.000 1
La2 0.500 0.500 0.500 1
Pr1 0.000 0.500 0.243 1
Pr2 0.500 0.000 0.244 1
Nd1 0.000 0.000 0.500 1
Sc1 0.500 0.500 0.000 1
# DFT formation energy	0.03	eV per atom



Record 7
# LaPr3NdSc, optimized geometry, DFT GGA-PBE
data_LaPr3NdSc
_space_group_name_H-M_alt 'C m c m'
_space_group_IT_number 63
_space_group_name_Hall '-C 2c 2'
_cell_length_a 5.121
_cell_length_b 15.463
_cell_length_c 10.308
_cell_angle_alpha 90.00
_cell_angle_beta 90.00
_cell_angle_gamma 90.00
loop_
_atom_site_label
_atom_site_fract_x
_atom_site_fract_y
_atom_site_fract_z
_atom_site_occupancy
La1 0.000 0.005 0.250 1
Pr1 0.000 0.168 0.002 1
Pr2 0.000 0.329 0.250 1
Nd1 0.000 0.500 0.000 1
Sc1 0.000 0.332 0.750 1
# DFT formation energy	0.04	eV per atom



Record 8
# LaPr4Nd2Sc, optimized geometry, DFT GGA-PBE
data_LaPr4Nd2Sc
_space_group_name_H-M_alt 'P 1 2/m 1'
_space_group_IT_number 10
_cell_length_a 5.147
_cell_length_b 5.164
_cell_length_c 10.377
_cell_angle_alpha 90.00
_cell_angle_beta 90.05
_cell_angle_gamma 90.00
loop_
_space_group_symop_operation_xyz
'x,y,z'
'-x,-y,-z'
'-x,y,-z'
'x,-y,z'
loop_
_atom_site_label
_atom_site_fract_x
_atom_site_fract_y
_atom_site_fract_z
_atom_site_occupancy
La1 0.000 0.000 0.000 1
Pr1 0.000 0.500 0.245 1
Pr2 0.500 0.000 0.245 1
Nd1 0.000 0.000 0.500 1
Nd2 0.500 0.500 0.500 1
Sc1 0.500 0.500 0.000 1
# DFT formation energy	0.03	eV per atom



Record 9
# La2Pr5NdSc, optimized geometry, DFT GGA-PBE
data_La2Pr5NdSc
_space_group_name_H-M_alt 'C m c 21'
_space_group_IT_number 36
_cell_length_a 5.546
_cell_length_b 22.259
_cell_length_c 10.354
_cell_angle_alpha 90.00
_cell_angle_beta 90.00
_cell_angle_gamma 90.00
loop_
_space_group_symop_operation_xyz
'x,y,z'
'-x,-y,z+1/2'
'-x,y,z'
'x,-y,z+1/2'
'x+1/2,y+1/2,z'
'-x+1/2,-y+1/2,z+1/2'
'-x+1/2,y+1/2,z'
'x+1/2,-y+1/2,z+1/2'
loop_
_atom_site_label
_atom_site_fract_x
_atom_site_fract_y
_atom_site_fract_z
_atom_site_occupancy
La1 0.000 0.117 0.000 1
La2 0.000 0.118 0.513 1
Pr1 0.000 0.000 0.257 1
Pr2 0.000 0.276 0.568 1
Pr3 0.000 0.276 0.944 1
Pr4 0.000 0.373 0.256 1
Pr5 0.000 0.500 0.007 1
Nd1 0.000 0.397 0.757 1
Sc1 0.000 0.213 0.256 1
# DFT formation energy	0.11	eV per atom



Record 10
# LaPrNd2Se4, optimized geometry, DFT GGA-PBE
data_LaPrNd2Se4
_space_group_name_H-M_alt 'I m m a'
_space_group_IT_number 74
_space_group_name_Hall '-I 2b 2'
_cell_length_a 8.519
_cell_length_b 8.527
_cell_length_c 12.052
_cell_angle_alpha 90.00
_cell_angle_beta 90.00
_cell_angle_gamma 90.00
loop_
_atom_site_label
_atom_site_fract_x
_atom_site_fract_y
_atom_site_fract_z
_atom_site_occupancy
La1 0.000 0.000 0.000 1
Pr1 0.250 0.250 0.250 1
Nd1 0.000 0.000 0.500 1
Nd2 0.250 0.250 0.750 1
Se1 0.000 0.002 0.749 1
Se2 0.247 0.250 0.501 1
# uncorrected formation energy	-1.880	eV per atom



Record 11
# LaPr3Nd2Se6, optimized geometry, DFT GGA-PBE
data_LaPr3Nd2Se6
_space_group_name_H-M_alt 'C 1 2/m 1'
_space_group_IT_number 12
_cell_length_a 7.365
_cell_length_b 12.814
_cell_length_c 7.383
_cell_angle_alpha 90.00
_cell_angle_beta 109.52
_cell_angle_gamma 90.00
loop_
_space_group_symop_operation_xyz
'x,y,z'
'-x,-y,-z'
'-x,y,-z'
'x,-y,z'
'x+1/2,y+1/2,z'
'-x+1/2,-y+1/2,-z'
'-x+1/2,y+1/2,-z'
'x+1/2,-y+1/2,z'
loop_
_atom_site_label
_atom_site_fract_x
_atom_site_fract_y
_atom_site_fract_z
_atom_site_occupancy
La1 0.000 0.000 0.000 1
Pr1 0.000 0.167 0.500 1
Pr2 0.000 0.500 0.500 1
Nd1 0.000 0.333 0.000 1
Se1 0.247 0.500 0.248 1
Se2 0.249 0.332 0.751 1
# uncorrected formation energy	-1.873	eV per atom



Record 12
# La2PrNdSe4, optimized geometry, DFT GGA-PBE
data_La2PrNdSe4
_space_group_name_H-M_alt 'P 1 2/m 1'
_space_group_IT_number 10
_cell_length_a 7.412
_cell_length_b 4.257
_cell_length_c 7.447
_cell_angle_alpha 90.00
_cell_angle_beta 109.25
_cell_angle_gamma 90.00
loop_
_space_group_symop_operation_xyz
'x,y,z'
'-x,-y,-z'
'-x,y,-z'
'x,-y,z'
loop_
_atom_site_label
_atom_site_fract_x
_atom_site_fract_y
_atom_site_fract_z
_atom_site_occupancy
La1 0.000 0.000 0.000 1
La2 0.000 0.500 0.500 1
Pr1 0.500 0.000 0.500 1
Nd1 0.500 0.500 0.000 1
Se1 0.253 0.500 0.250 1
Se2 0.254 0.000 0.753 1
# uncorrected formation energy	-1.925	eV per atom



Record 13
# La3Pr2NdSe6, optimized geometry, DFT GGA-PBE
data_La3Pr2NdSe6
_space_group_name_H-M_alt 'C 1 2/m 1'
_space_group_IT_number 12
_cell_length_a 7.417
_cell_length_b 12.884
_cell_length_c 7.404
_cell_angle_alpha 90.00
_cell_angle_beta 109.60
_cell_angle_gamma 90.00
loop_
_space_group_symop_operation_xyz
'x,y,z'
'-x,-y,-z'
'-x,y,-z'
'x,-y,z'
'x+1/2,y+1/2,z'
'-x+1/2,-y+1/2,-z'
'-x+1/2,y+1/2,-z'
'x+1/2,-y+1/2,z'
loop_
_atom_site_label
_atom_site_fract_x
_atom_site_fract_y
_atom_site_fract_z
_atom_site_occupancy
La1 0.000 0.000 0.000 1
La2 0.000 0.332 0.000 1
Pr1 0.000 0.167 0.500 1
Nd1 0.000 0.500 0.500 1
Se1 0.248 0.334 0.747 1
Se2 0.249 0.500 0.252 1
# uncorrected formation energy	-1.930	eV per atom



Record 14
# La4PrNdSe8, optimized geometry, DFT GGA-PBE
data_La4PrNdSe8
_space_group_name_H-M_alt 'R 3 m'
_space_group_IT_number 160
_space_group_name_Hall 'R 3 -2"'
_cell_length_a 8.8552
_cell_length_b 8.8552
_cell_length_c 21.4480
_cell_angle_alpha 90.00
_cell_angle_beta 90.00
_cell_angle_gamma 120.00
loop_
_atom_site_label
_atom_site_fract_x
_atom_site_fract_y
_atom_site_fract_z
_atom_site_occupancy
La1 0.0000 0.0000 0.0000 1
La2 0.1679 0.3357 0.2088 1
Pr1 0.0000 0.0000 0.3770 1
Nd1 0.0000 0.0000 0.7513 1
Se1 0.0000 0.0000 0.1345 1
Se2 0.0000 0.0000 0.6193 1
Se3 0.0166 0.5083 0.1274 1
Se4 0.1782 0.3565 0.9567 1
# uncorrected formation energy	-1.816	eV per atom



Record 15
# La3Pr4NdSe8, optimized geometry, DFT GGA-PBE
data_La3Pr4NdSe8
_space_group_name_H-M_alt 'R -3 m'
_space_group_IT_number 166
_space_group_name_Hall '-R 3 2"'
_cell_length_a 8.5680
_cell_length_b 8.5680
_cell_length_c 20.9334
_cell_angle_alpha 90.00
_cell_angle_beta 90.00
_cell_angle_gamma 120.00
loop_
_atom_site_label
_atom_site_fract_x
_atom_site_fract_y
_atom_site_fract_z
_atom_site_occupancy
La1 0.0000 0.5000 0.0000 1
Pr1 0.0000 0.0000 0.5000 1
Pr2 0.0000 0.5000 0.5000 1
Nd1 0.0000 0.0000 0.0000 1
Se1 0.0000 0.0000 0.2495 1
Se2 0.0020 0.5010 0.7500 1
# uncorrected formation energy	-1.903	eV per atom



Record 16
# La4PrNd3Se8, optimized geometry, DFT GGA-PBE
data_La4PrNd3Se8
_space_group_name_H-M_alt 'R -3 m'
_space_group_IT_number 166
_space_group_name_Hall '-R 3 2"'
_cell_length_a 8.5645
_cell_length_b 8.5645
_cell_length_c 20.8999
_cell_angle_alpha 90.00
_cell_angle_beta 90.00
_cell_angle_gamma 120.00
loop_
_atom_site_label
_atom_site_fract_x
_atom_site_fract_y
_atom_site_fract_z
_atom_site_occupancy
La1 0.0000 0.0000 0.0000 1
La2 0.0000 0.5000 0.0000 1
Pr1 0.0000 0.0000 0.5000 1
Nd1 0.0000 0.5000 0.5000 1
Se1 0.0000 0.0000 0.2485 1
Se2 0.0014 0.5007 0.7512 1
# uncorrected formation energy	-1.923	eV per atom



Record 17
# La2PrNd3Se6, optimized geometry, DFT GGA-PBE
data_La2PrNd3Se6
_space_group_name_H-M_alt 'C 1 2/m 1'
_space_group_IT_number 12
_cell_length_a 7.372
_cell_length_b 12.818
_cell_length_c 7.383
_cell_angle_alpha 90.00
_cell_angle_beta 109.53
_cell_angle_gamma 90.00
loop_
_space_group_symop_operation_xyz
'x,y,z'
'-x,-y,-z'
'-x,y,-z'
'x,-y,z'
'x+1/2,y+1/2,z'
'-x+1/2,-y+1/2,-z'
'-x+1/2,y+1/2,-z'
'x+1/2,-y+1/2,z'
loop_
_atom_site_label
_atom_site_fract_x
_atom_site_fract_y
_atom_site_fract_z
_atom_site_occupancy
La1 0.000 0.166 0.000 1
Pr1 0.000 0.500 0.000 1
Nd1 0.000 0.000 0.500 1
Nd2 0.000 0.334 0.500 1
Se1 0.248 0.500 0.745 1
Se2 0.249 0.167 0.746 1
# uncorrected formation energy	-1.900	eV per atom



Record 18
# La2PrNd4Sm2, optimized geometry, DFT GGA-PBE
data_La2PrNd4Sm2
_space_group_name_H-M_alt 'C 1 2/m 1'
_space_group_IT_number 12
_cell_length_a 19.328
_cell_length_b 3.721
_cell_length_c 9.880
_cell_angle_alpha 90.00
_cell_angle_beta 115.77
_cell_angle_gamma 90.00
loop_
_space_group_symop_operation_xyz
'x,y,z'
'-x,-y,-z'
'-x,y,-z'
'x,-y,z'
'x+1/2,y+1/2,z'
'-x+1/2,-y+1/2,-z'
'-x+1/2,y+1/2,-z'
'x+1/2,-y+1/2,z'
loop_
_atom_site_label
_atom_site_fract_x
_atom_site_fract_y
_atom_site_fract_z
_atom_site_occupancy
La1 0.167 0.000 0.499 1
Pr1 0.000 0.500 0.500 1
Nd1 0.019 0.000 0.835 1
Nd2 0.186 0.500 0.834 1
Sm1 0.148 0.500 0.167 1
# DFT formation energy	0.00	eV per atom



Record 19
# LaPrNd2Sm6, optimized geometry, DFT GGA-PBE
data_LaPrNd2Sm6
_space_group_name_H-M_alt 'C 1 2/c 1'
_space_group_IT_number 15
_cell_length_a 9.230
_cell_length_b 15.431
_cell_length_c 9.985
_cell_angle_alpha 90.00
_cell_angle_beta 98.87
_cell_angle_gamma 90.00
loop_
_space_group_symop_operation_xyz
'x,y,z'
'-x,-y,-z'
'-x,y,-z+1/2'
'x,-y,z+1/2'
'x+1/2,y+1/2,z'
'-x+1/2,-y+1/2,-z'
'-x+1/2,y+1/2,-z+1/2'
'x+1/2,-y+1/2,z+1/2'
loop_
_atom_site_label
_atom_site_fract_x
_atom_site_fract_y
_atom_site_fract_z
_atom_site_occupancy
La1 0.000 0.095 0.250 1
Pr1 0.000 0.480 0.750 1
Nd1 0.240 0.449 0.042 1
Sm1 0.069 0.313 0.444 1
Sm2 0.099 0.105 0.621 1
Sm3 0.200 0.273 0.818 1
# DFT formation energy	0.12	eV per atom



| no. | energy (eV for the cell shown) | total moment (μB per atom) | volume (A^3/atom) |
| --- | --- | --- | --- |
| 1 | -175.12 | 0.0000 | 35.1 |
| 2 | -96.55 | 0.0000 | 35.4 |
| 3 | -168.89 | 0.0003 | 35.3 |
| 4 | -39.63 | 0.0000 | 34.3 |
| 5 | -85.92 | 0.0000 | 35.7 |
| 6 | -39.80 | 0.0000 | 34.7 |
| 7 | -120.49 | 0.0000 | 34.0 |
| 8 | -39.67 | 0.0000 | 34.5 |
| 9 | -175.50 | 0.0000 | 35.5 |
| 10 | -192.87 | 0.0000 | 27.4 |
| 11 | -144.37 | 0.0000 | 27.4 |
| 12 | -48.74 | 0.0000 | 27.7 |
| 13 | -146.34 | 0.0000 | 27.8 |
| 14 | -247.69 | 0.0000 | 34.7 |
| 15 | -291.00 | 0.0000 | 27.7 |
| 16 | -292.30 | 0.0000 | 27.7 |
| 17 | -145.29 | 0.0000 | 27.4 |
| 18 | -86.20 | 0.0000 | 35.6 |
| 19 | -185.54 | 0.0000 | 35.1 |